(1)
PmCuSn | GGA-PBE | optimized geometry

Cell: 4.144 4.144 8.722 Å, 90.00 90.00 90.00°
Space group I4mm (No. 107)
Asymmetric unit:
Pm1 0.000 0.000 0.000 (multiplicity 2)
Cu1 0.000 0.000 0.658 (multiplicity 2)
Sn1 0.000 0.000 0.349 (multiplicity 2)

Final energy, eV per atom: -4.39



(2)
Pm6CuSn12 | GGA-PBE | optimized geometry

Cell: 12.2623 12.2623 12.1846 Å, 90.00 90.00 120.00°
Space group R-3 (No. 148, hexagonal axes)
Asymmetric unit:
Pm1 0.0017 0.4331 0.2503 (multiplicity 18)
Cu1 0.0000 0.0000 0.5000 (multiplicity 3)
Sn1 0.0623 0.2005 0.3504 (multiplicity 18)
Sn2 0.0633 0.8667 0.8561 (multiplicity 18)

Final energy, eV per atom: -4.75



(3)
Pm7Cu2Sn2 | GGA-PBE | optimized geometry

Cell: 8.240 11.551 7.009 Å, 90.00 90.00 90.00°
Space group Cmmm (No. 65)
Asymmetric unit:
Pm1 0.000 0.000 0.000 (multiplicity 2)
Pm2 0.000 0.500 0.236 (multiplicity 4)
Pm3 0.250 0.250 0.261 (multiplicity 8)
Cu1 0.000 0.287 0.000 (multiplicity 4)
Sn1 0.176 0.000 0.500 (multiplicity 4)

Final energy, eV per atom: -4.65



(4)
Pm4Cu3Sn | GGA-PBE | optimized geometry

Cell: 4.095 4.485 10.901 Å, 90.00 90.00 90.00°
Space group Pmm2 (No. 25)
Asymmetric unit:
Pm1 0.000 0.000 0.000 (multiplicity 1)
Pm2 0.000 0.500 0.270 (multiplicity 1)
Pm3 0.500 0.000 0.471 (multiplicity 1)
Pm4 0.500 0.500 0.786 (multiplicity 1)
Cu1 0.000 0.500 0.550 (multiplicity 1)
Cu2 0.500 0.000 0.195 (multiplicity 1)
Cu3 0.500 0.500 0.070 (multiplicity 1)
Sn1 0.000 0.000 0.702 (multiplicity 1)

Final energy, eV per atom: -4.71



(5)
PmCu6Sn6 | GGA-PBE | optimized geometry

Cell: 5.638 9.051 9.764 Å, 90.00 90.00 90.00°
Space group Immm (No. 71)
Asymmetric unit:
Pm1 0.000 0.000 0.000 (multiplicity 2)
Cu1 0.000 0.252 0.500 (multiplicity 4)
Cu2 0.250 0.250 0.250 (multiplicity 8)
Sn1 0.000 0.000 0.335 (multiplicity 4)
Sn2 0.000 0.340 0.000 (multiplicity 4)
Sn3 0.000 0.500 0.333 (multiplicity 4)

Final energy, eV per atom: -4.20



(6)
Pm3Cu4Sn4 | GGA-PBE | optimized geometry

Cell: 4.561 7.019 15.028 Å, 90.00 90.00 90.00°
Space group Immm (No. 71)
Asymmetric unit:
Pm1 0.000 0.000 0.000 (multiplicity 2)
Pm2 0.000 0.500 0.132 (multiplicity 4)
Cu1 0.000 0.316 0.332 (multiplicity 8)
Sn1 0.000 0.000 0.217 (multiplicity 4)
Sn2 0.000 0.201 0.500 (multiplicity 4)

Final energy, eV per atom: -4.78



Q: Number 3 is which compound?
A: Pm7Cu2Sn2



Q: Among the records above, which one has the lowest final energy?
A: Pm3Cu4Sn4